Computed, not measured: crystalline LiTlAg2I4 at its relaxed geometry at the PBE level of DFT.

Output
The total energy is -2.577 eV per atom. The total magnetization comes out at 0.00 μB/f.u.

Cell: 7.6916 8.4065 8.9809 Å, 90.00 90.00 90.00°
Space group I222 (No. 23)
Asymmetric unit:
Li 0.0000 0.0000 0.0000 x2
Tl 0.0000 0.0000 0.5000 x2
Ag 0.0000 0.5000 0.3338 x4
I 0.2178 0.1923 0.8308 x8